Entry from the Alexandria database: a relaxed Fe2TeP crystal (PBE-GGA).

abc: 3.780 3.780 17.790
angles: 90.00 90.00 120.00
Atoms (fractional coordinates):
Fe: 0.000 0.000 0.000
Fe: 0.000 0.000 0.278
Fe: 0.333 0.667 0.667
Fe: 0.333 0.667 0.944
Fe: 0.667 0.333 0.333
Fe: 0.667 0.333 0.611
Te: 0.000 0.000 0.526
Te: 0.333 0.667 0.193
Te: 0.667 0.333 0.859
P: 0.000 0.000 0.692
P: 0.333 0.667 0.358
P: 0.667 0.333 0.025

The raw formation energy is 0.0802 eV/atom. The space group is R3m (160). The calculation puts the volume at 220.1 Å³ per cell. As for the total magnetization: 11.440 μB/cell.